# 1
# EuScZnHg

A relaxed EuScZnHg crystal (PBE, Alexandria via LeMat-Bulk).

Summary:
Calculated volume ... 24.1 Å³/atom
Magnetic moment ... 6.93 μB per formula unit
Mass density ... 7.98 g/cm3
DFT formation energy ... -300 meV per atom
N(E_F) ... 1.51 states/eV per atom

a b c (Å): 7.2758 7.2758 7.2758
angles (deg): 90.00 90.00 90.00
Closest atoms and distances in Å follow each position.
Positions (direct):
Eu 0.0000 0.0000 0.0000  4 Zn 3.15, 4 Hg 3.15
Eu 0.0000 0.5000 0.5000  4 Zn 3.15, 4 Hg 3.15
Eu 0.5000 0.0000 0.5000  4 Zn 3.15, 4 Hg 3.15
Eu 0.5000 0.5000 0.0000  4 Zn 3.15, 4 Hg 3.15
Sc 0.0000 0.0000 0.5000  4 Hg 3.15, 4 Zn 3.15
Sc 0.0000 0.5000 0.0000  4 Hg 3.15, 4 Zn 3.15
Sc 0.5000 0.0000 0.0000  4 Hg 3.15, 4 Zn 3.15
Sc 0.5000 0.5000 0.5000  4 Hg 3.15, 4 Zn 3.15
Zn 0.2500 0.2500 0.7500  4 Sc 3.15, 4 Eu 3.15
Zn 0.2500 0.7500 0.2500  4 Sc 3.15, 4 Eu 3.15
Zn 0.7500 0.2500 0.2500  4 Sc 3.15, 4 Eu 3.15
Zn 0.7500 0.7500 0.7500  4 Sc 3.15, 4 Eu 3.15
Hg 0.2500 0.2500 0.2500  4 Sc 3.15, 4 Eu 3.15
Hg 0.2500 0.7500 0.7500  4 Sc 3.15, 4 Eu 3.15
Hg 0.7500 0.2500 0.7500  4 Sc 3.15, 4 Eu 3.15
Hg 0.7500 0.7500 0.2500  4 Sc 3.15, 4 Eu 3.15

---

# 2
# Eu2HgSe

A relaxed Eu2HgSe crystal (PBE, Alexandria via LeMat-Bulk).

Summary:
Energy relative to the elements, uncorrected ... -1.097 eV/atom
Calculated volume ... 27.8 Å³/atom
Excess energy over the best structure of this formula in the dataset ... 60 meV per atom
Magnetic moment ... 14.38 μB per formula unit
Mass density ... 8.70 g/cm3
N(E_F) ... 0.50 states/eV per atom

a b c (Å): 3.8433 3.8433 7.5371
angles (deg): 90.00 90.00 90.00
Closest atoms and distances in Å follow each position.
Positions (direct):
Eu 0.0000 0.0000 0.2350  4 Se 3.24, 4 Hg 3.37, 1 Eu 3.54
Eu 0.0000 0.0000 0.7650  4 Se 3.24, 4 Hg 3.37, 1 Eu 3.54
Hg 0.5000 0.5000 0.5000  8 Eu 3.37, 2 Se 3.77
Se 0.5000 0.5000 0.0000  8 Eu 3.24

---

# 3
# EuHgSe

A relaxed EuHgSe crystal (PBE, Alexandria via LeMat-Bulk).

Summary:
Energy relative to the elements, uncorrected ... -1.026 eV/atom
Calculated volume ... 31.8 Å³/atom
Magnetic moment ... 7.00 μB per formula unit
Mass density ... 7.50 g/cm3

a b c (Å): 7.2569 7.2569 7.2569
angles (deg): 90.00 90.00 90.00
Closest atoms and distances in Å follow each position.
Positions (direct):
Eu 0.0000 0.0000 0.0000  4 Hg 3.14, 4 Se 3.14
Eu 0.0000 0.5000 0.5000  4 Hg 3.14, 4 Se 3.14
Eu 0.5000 0.0000 0.5000  4 Hg 3.14, 4 Se 3.14
Eu 0.5000 0.5000 0.0000  4 Hg 3.14, 4 Se 3.14
Hg 0.2500 0.2500 0.2500  4 Eu 3.14
Hg 0.2500 0.7500 0.7500  4 Eu 3.14
Hg 0.7500 0.2500 0.7500  4 Eu 3.14
Hg 0.7500 0.7500 0.2500  4 Eu 3.14
Se 0.2500 0.2500 0.7500  4 Eu 3.14
Se 0.2500 0.7500 0.2500  4 Eu 3.14
Se 0.7500 0.2500 0.2500  4 Eu 3.14
Se 0.7500 0.7500 0.7500  4 Eu 3.14

---

# 4
# Eu2HgSe

A relaxed Eu2HgSe crystal (PBE, Alexandria via LeMat-Bulk).

Summary:
Energy relative to the elements, uncorrected ... -1.157 eV/atom
Calculated volume ... 31.3 Å³/atom
Excess energy over the best structure of this formula in the dataset ... 0 meV per atom
Magnetic moment ... 14.96 μB per formula unit
Mass density ... 7.75 g/cm3
N(E_F) ... 4.30 states/eV per atom

a b c (Å): 4.2645 4.2645 23.8219
angles (deg): 90.00 90.00 120.00
Closest atoms and distances in Å follow each position.
Positions (direct):
Eu 0.0000 0.0000 0.2409  3 Se 3.03, 3 Hg 3.30
Eu 0.0000 0.0000 0.7591  3 Se 3.03, 3 Hg 3.30
Eu 0.3333 0.6667 0.4257  3 Se 3.03, 3 Hg 3.30
Eu 0.3333 0.6667 0.9076  3 Se 3.03, 3 Hg 3.30
Eu 0.6667 0.3333 0.0924  3 Se 3.03, 3 Hg 3.30
Eu 0.6667 0.3333 0.5743  3 Se 3.03, 3 Hg 3.30
Hg 0.0000 0.0000 0.0000  6 Eu 3.30
Hg 0.3333 0.6667 0.6667  6 Eu 3.30
Hg 0.6667 0.3333 0.3333  6 Eu 3.30
Se 0.0000 0.0000 0.5000  6 Eu 3.03
Se 0.3333 0.6667 0.1667  6 Eu 3.03
Se 0.6667 0.3333 0.8333  6 Eu 3.03

---

# 5
# EuSiHg

A relaxed EuSiHg crystal (PBE, Alexandria via LeMat-Bulk).

Summary:
Energy relative to the elements, uncorrected ... -0.297 eV/atom
Calculated volume ... 26.0 Å³/atom
Magnetic moment ... 7.00 μB per formula unit
Mass density ... 8.10 g/cm3
N(E_F) ... 3.61 states/eV per atom

a b c (Å): 6.7826 6.7826 6.7826
angles (deg): 90.00 90.00 90.00
Closest atoms and distances in Å follow each position.
Positions (direct):
Eu 0.0000 0.0000 0.0000  4 Si 2.94
Eu 0.0000 0.5000 0.5000  4 Si 2.94
Eu 0.5000 0.0000 0.5000  4 Si 2.94
Eu 0.5000 0.5000 0.0000  4 Si 2.94
Si 0.2500 0.2500 0.7500  4 Eu 2.94, 4 Hg 2.94
Si 0.2500 0.7500 0.2500  4 Eu 2.94, 4 Hg 2.94
Si 0.7500 0.2500 0.2500  4 Eu 2.94, 4 Hg 2.94
Si 0.7500 0.7500 0.7500  4 Eu 2.94, 4 Hg 2.94
Hg 0.0000 0.0000 0.5000  4 Si 2.94
Hg 0.0000 0.5000 0.0000  4 Si 2.94
Hg 0.5000 0.0000 0.0000  4 Si 2.94
Hg 0.5000 0.5000 0.5000  4 Si 2.94

---

# 6
# Eu2SiHg

A relaxed Eu2SiHg crystal (PBE, Alexandria via LeMat-Bulk).

Summary:
Energy relative to the elements, uncorrected ... -0.263 eV/atom
Calculated volume ... 30.7 Å³/atom
Magnetic moment ... 14.71 μB per formula unit
Mass density ... 7.21 g/cm3
N(E_F) ... 2.86 states/eV per atom

a b c (Å): 4.0229 4.0229 26.2559
angles (deg): 90.00 90.00 120.00
Closest atoms and distances in Å follow each position.
Positions (direct):
Eu 0.0000 0.0000 0.2402  3 Si 3.02, 3 Hg 3.37
Eu 0.0000 0.0000 0.7598  3 Si 3.02, 3 Hg 3.37
Eu 0.3333 0.6667 0.4264  3 Si 3.02, 3 Hg 3.37
Eu 0.3333 0.6667 0.9069  3 Si 3.02, 3 Hg 3.37
Eu 0.6667 0.3333 0.0931  3 Si 3.02, 3 Hg 3.37
Eu 0.6667 0.3333 0.5736  3 Si 3.02, 3 Hg 3.37
Si 0.0000 0.0000 0.5000  6 Eu 3.02
Si 0.3333 0.6667 0.1667  6 Eu 3.02
Si 0.6667 0.3333 0.8333  6 Eu 3.02
Hg 0.0000 0.0000 0.0000  6 Eu 3.37
Hg 0.3333 0.6667 0.6667  6 Eu 3.37
Hg 0.6667 0.3333 0.3333  6 Eu 3.37

---

# 7
# Eu2SiHg

A relaxed Eu2SiHg crystal (PBE, Alexandria via LeMat-Bulk).

Summary:
Energy relative to the elements, uncorrected ... -0.462 eV/atom
Calculated volume ... 26.8 Å³/atom
Magnetic moment ... 14.06 μB per formula unit
Mass density ... 8.24 g/cm3
N(E_F) ... 2.25 states/eV per atom

a b c (Å): 3.7184 3.7184 7.7654
angles (deg): 90.00 90.00 90.00
Closest atoms and distances in Å follow each position.
Positions (direct):
Eu 0.0000 0.0000 0.2249  4 Si 3.16, 4 Hg 3.39, 1 Eu 3.49
Eu 0.0000 0.0000 0.7751  4 Si 3.16, 4 Hg 3.39, 1 Eu 3.49
Si 0.5000 0.5000 0.0000  8 Eu 3.16
Hg 0.5000 0.5000 0.5000  8 Eu 3.39, 4 Hg 3.72

---

# 8
# EuSiHg

A relaxed EuSiHg crystal (PBE, Alexandria via LeMat-Bulk).

Summary:
Energy relative to the elements, uncorrected ... -0.371 eV/atom
Calculated volume ... 25.2 Å³/atom
Magnetic moment ... 7.04 μB per formula unit
Mass density ... 8.37 g/cm3
N(E_F) ... 3.65 states/eV per atom

a b c (Å): 4.4387 4.4387 4.4277
angles (deg): 90.00 90.00 120.00
Closest atoms and distances in Å follow each position.
Positions (direct):
Eu 0.0000 0.0000 0.0000  6 Si 3.31-3.46, 6 Hg 3.34-3.43
Si 0.3333 0.6667 0.4741  3 Hg 2.57
Hg 0.6667 0.3333 0.5148  3 Si 2.57

---

# 9
# SmEuSiHg

A relaxed SmEuSiHg crystal (PBE, Alexandria via LeMat-Bulk).

Summary:
Energy relative to the elements, uncorrected ... -0.448 eV/atom
Calculated volume ... 25.9 Å³/atom
Magnetic moment ... 7.56 μB per formula unit
Mass density ... 8.50 g/cm3
N(E_F) ... 0.68 states/eV per atom

a b c (Å): 7.4586 7.4586 7.4586
angles (deg): 90.00 90.00 90.00
Closest atoms and distances in Å follow each position.
Positions (direct):
Sm 0.0000 0.0000 0.0000  4 Hg 3.23, 4 Si 3.23
Sm 0.0000 0.5000 0.5000  4 Si 3.23, 4 Hg 3.23
Sm 0.5000 0.0000 0.5000  4 Si 3.23, 4 Hg 3.23
Sm 0.5000 0.5000 0.0000  4 Si 3.23, 4 Hg 3.23
Eu 0.0000 0.0000 0.5000  4 Hg 3.23, 4 Si 3.23
Eu 0.0000 0.5000 0.0000  4 Hg 3.23, 4 Si 3.23
Eu 0.5000 0.0000 0.0000  4 Hg 3.23, 4 Si 3.23
Eu 0.5000 0.5000 0.5000  4 Hg 3.23, 4 Si 3.23
Si 0.2500 0.2500 0.2500  4 Sm 3.23, 4 Eu 3.23
Si 0.2500 0.7500 0.7500  4 Sm 3.23, 4 Eu 3.23
Si 0.7500 0.2500 0.7500  4 Sm 3.23, 4 Eu 3.23
Si 0.7500 0.7500 0.2500  4 Sm 3.23, 4 Eu 3.23
Hg 0.2500 0.2500 0.7500  4 Sm 3.23, 4 Eu 3.23
Hg 0.2500 0.7500 0.2500  4 Sm 3.23, 4 Eu 3.23
Hg 0.7500 0.2500 0.2500  4 Sm 3.23, 4 Eu 3.23
Hg 0.7500 0.7500 0.7500  4 Eu 3.23, 4 Sm 3.23

---

# 10
# SrEuSiHg

A relaxed SrEuSiHg crystal (PBE, Alexandria via LeMat-Bulk).

Summary:
Energy relative to the elements, uncorrected ... -0.451 eV/atom
Calculated volume ... 28.4 Å³/atom
Magnetic moment ... 7.04 μB per formula unit
Mass density ... 6.84 g/cm3
N(E_F) ... 2.16 states/eV per atom

a b c (Å): 7.6895 7.6895 7.6895
angles (deg): 90.00 90.00 90.00
Closest atoms and distances in Å follow each position.
Positions (direct):
Sr 0.0000 0.0000 0.0000  4 Hg 3.33, 4 Si 3.33
Sr 0.0000 0.5000 0.5000  4 Hg 3.33, 4 Si 3.33
Sr 0.5000 0.0000 0.5000  4 Hg 3.33, 4 Si 3.33
Sr 0.5000 0.5000 0.0000  4 Hg 3.33, 4 Si 3.33
Eu 0.0000 0.0000 0.5000  4 Si 3.33, 4 Hg 3.33
Eu 0.0000 0.5000 0.0000  4 Si 3.33, 4 Hg 3.33
Eu 0.5000 0.0000 0.0000  4 Si 3.33, 4 Hg 3.33
Eu 0.5000 0.5000 0.5000  4 Si 3.33, 4 Hg 3.33
Si 0.2500 0.2500 0.7500  4 Sr 3.33, 4 Eu 3.33
Si 0.2500 0.7500 0.2500  4 Sr 3.33, 4 Eu 3.33
Si 0.7500 0.2500 0.2500  4 Sr 3.33, 4 Eu 3.33
Si 0.7500 0.7500 0.7500  4 Eu 3.33, 4 Sr 3.33
Hg 0.2500 0.2500 0.2500  4 Sr 3.33, 4 Eu 3.33
Hg 0.2500 0.7500 0.7500  4 Sr 3.33, 4 Eu 3.33
Hg 0.7500 0.2500 0.7500  4 Sr 3.33, 4 Eu 3.33
Hg 0.7500 0.7500 0.2500  4 Sr 3.33, 4 Eu 3.33

---

# 11
# TbEuSiHg

A relaxed TbEuSiHg crystal (PBE, Alexandria via LeMat-Bulk).

Summary:
Energy relative to the elements, uncorrected ... -0.442 eV/atom
Calculated volume ... 25.3 Å³/atom
Magnetic moment ... 7.49 μB per formula unit
Mass density ... 8.87 g/cm3
N(E_F) ... 0.70 states/eV per atom

a b c (Å): 7.3929 7.3929 7.3929
angles (deg): 90.00 90.00 90.00
Closest atoms and distances in Å follow each position.
Positions (direct):
Tb 0.0000 0.0000 0.0000  4 Hg 3.20, 4 Si 3.20
Tb 0.0000 0.5000 0.5000  4 Hg 3.20, 4 Si 3.20
Tb 0.5000 0.0000 0.5000  4 Hg 3.20, 4 Si 3.20
Tb 0.5000 0.5000 0.0000  4 Hg 3.20, 4 Si 3.20
Eu 0.0000 0.0000 0.5000  4 Hg 3.20, 4 Si 3.20
Eu 0.0000 0.5000 0.0000  4 Hg 3.20, 4 Si 3.20
Eu 0.5000 0.0000 0.0000  4 Hg 3.20, 4 Si 3.20
Eu 0.5000 0.5000 0.5000  4 Hg 3.20, 4 Si 3.20
Si 0.2500 0.2500 0.2500  4 Tb 3.20, 4 Eu 3.20
Si 0.2500 0.7500 0.7500  4 Tb 3.20, 4 Eu 3.20
Si 0.7500 0.2500 0.7500  4 Tb 3.20, 4 Eu 3.20
Si 0.7500 0.7500 0.2500  4 Tb 3.20, 4 Eu 3.20
Hg 0.2500 0.2500 0.7500  4 Tb 3.20, 4 Eu 3.20
Hg 0.2500 0.7500 0.2500  4 Tb 3.20, 4 Eu 3.20
Hg 0.7500 0.2500 0.2500  4 Tb 3.20, 4 Eu 3.20
Hg 0.7500 0.7500 0.7500  4 Tb 3.20, 4 Eu 3.20

---

# 12
# EuTmSiHg

A relaxed EuTmSiHg crystal (PBE, Alexandria via LeMat-Bulk).

Summary:
Energy relative to the elements, uncorrected ... -0.420 eV/atom
Calculated volume ... 24.6 Å³/atom
Magnetic moment ... 7.40 μB per formula unit
Mass density ... 9.27 g/cm3
N(E_F) ... 0.74 states/eV per atom

a b c (Å): 7.3287 7.3287 7.3287
angles (deg): 90.00 90.00 90.00
Closest atoms and distances in Å follow each position.
Positions (direct):
Eu 0.0000 0.0000 0.0000  4 Hg 3.17, 4 Si 3.17
Eu 0.0000 0.5000 0.5000  4 Hg 3.17, 4 Si 3.17
Eu 0.5000 0.0000 0.5000  4 Hg 3.17, 4 Si 3.17
Eu 0.5000 0.5000 0.0000  4 Hg 3.17, 4 Si 3.17
Tm 0.0000 0.0000 0.5000  4 Si 3.17, 4 Hg 3.17
Tm 0.0000 0.5000 0.0000  4 Si 3.17, 4 Hg 3.17
Tm 0.5000 0.0000 0.0000  4 Si 3.17, 4 Hg 3.17
Tm 0.5000 0.5000 0.5000  4 Si 3.17, 4 Hg 3.17
Si 0.2500 0.2500 0.7500  4 Tm 3.17, 4 Eu 3.17
Si 0.2500 0.7500 0.2500  4 Tm 3.17, 4 Eu 3.17
Si 0.7500 0.2500 0.2500  4 Tm 3.17, 4 Eu 3.17
Si 0.7500 0.7500 0.7500  4 Tm 3.17, 4 Eu 3.17
Hg 0.2500 0.2500 0.2500  4 Tm 3.17, 4 Eu 3.17
Hg 0.2500 0.7500 0.7500  4 Tm 3.17, 4 Eu 3.17
Hg 0.7500 0.2500 0.7500  4 Tm 3.17, 4 Eu 3.17
Hg 0.7500 0.7500 0.2500  4 Tm 3.17, 4 Eu 3.17

---

# 13
# EuYSiHg

A relaxed EuYSiHg crystal (PBE, Alexandria via LeMat-Bulk).

Summary:
Energy relative to the elements, uncorrected ... -0.451 eV/atom
Calculated volume ... 25.2 Å³/atom
Magnetic moment ... 7.46 μB per formula unit
Mass density ... 7.74 g/cm3
N(E_F) ... 0.71 states/eV per atom

a b c (Å): 7.3856 7.3856 7.3856
angles (deg): 90.00 90.00 90.00
Closest atoms and distances in Å follow each position.
Positions (direct):
Eu 0.0000 0.0000 0.0000  4 Si 3.20, 4 Hg 3.20
Eu 0.0000 0.5000 0.5000  4 Si 3.20, 4 Hg 3.20
Eu 0.5000 0.0000 0.5000  4 Si 3.20, 4 Hg 3.20
Eu 0.5000 0.5000 0.0000  4 Si 3.20, 4 Hg 3.20
Y 0.0000 0.0000 0.5000  4 Hg 3.20, 4 Si 3.20
Y 0.0000 0.5000 0.0000  4 Hg 3.20, 4 Si 3.20
Y 0.5000 0.0000 0.0000  4 Hg 3.20, 4 Si 3.20
Y 0.5000 0.5000 0.5000  4 Hg 3.20, 4 Si 3.20
Si 0.2500 0.2500 0.2500  4 Eu 3.20, 4 Y 3.20
Si 0.2500 0.7500 0.7500  4 Eu 3.20, 4 Y 3.20
Si 0.7500 0.2500 0.7500  4 Eu 3.20, 4 Y 3.20
Si 0.7500 0.7500 0.2500  4 Eu 3.20, 4 Y 3.20
Hg 0.2500 0.2500 0.7500  4 Eu 3.20, 4 Y 3.20
Hg 0.2500 0.7500 0.2500  4 Eu 3.20, 4 Y 3.20
Hg 0.7500 0.2500 0.2500  4 Eu 3.20, 4 Y 3.20
Hg 0.7500 0.7500 0.7500  4 Eu 3.20, 4 Y 3.20

---

# 14
# SmEuHg

A relaxed SmEuHg crystal (PBE, Alexandria via LeMat-Bulk).

Summary:
Calculated volume ... 31.3 Å³/atom
Excess energy over the best structure of this formula in the dataset ... 112 meV per atom
Magnetic moment ... 7.14 μB per formula unit
Mass density ... 8.89 g/cm3
DFT formation energy ... -189 meV per atom
N(E_F) ... 0.91 states/eV per atom

a b c (Å): 5.2796 5.2796 3.8927
angles (deg): 90.00 90.00 120.00
Closest atoms and distances in Å follow each position.
Positions (direct):
Sm 0.0000 0.0000 0.0000  3 Hg 3.15, 3 Eu 3.51
Eu 0.6667 0.3333 0.5506  3 Hg 3.33, 6 Sm 3.51-3.73
Hg 0.3333 0.6667 0.2059  3 Sm 3.15, 3 Eu 3.33

---

# 15
# SmEuHg

A relaxed SmEuHg crystal (PBE, Alexandria via LeMat-Bulk).

Summary:
Calculated volume ... 34.9 Å³/atom
Excess energy over the best structure of this formula in the dataset ... 163 meV per atom
Magnetic moment ... 7.44 μB per formula unit
Mass density ... 7.97 g/cm3
DFT formation energy ... -137 meV per atom
N(E_F) ... 1.51 states/eV per atom

a b c (Å): 7.4833 7.4833 7.4833
angles (deg): 90.00 90.00 90.00
Closest atoms and distances in Å follow each position.
Positions (direct):
Sm 0.0000 0.0000 0.0000  4 Hg 3.24
Sm 0.0000 0.5000 0.5000  4 Hg 3.24
Sm 0.5000 0.0000 0.5000  4 Hg 3.24
Sm 0.5000 0.5000 0.0000  4 Hg 3.24
Eu 0.0000 0.0000 0.5000  4 Hg 3.24
Eu 0.0000 0.5000 0.0000  4 Hg 3.24
Eu 0.5000 0.0000 0.0000  4 Hg 3.24
Eu 0.5000 0.5000 0.5000  4 Hg 3.24
Hg 0.2500 0.2500 0.7500  4 Sm 3.24, 4 Eu 3.24
Hg 0.2500 0.7500 0.2500  4 Sm 3.24, 4 Eu 3.24
Hg 0.7500 0.2500 0.2500  4 Sm 3.24, 4 Eu 3.24
Hg 0.7500 0.7500 0.7500  4 Sm 3.24, 4 Eu 3.24

---

# 16
# SmEuHg

A relaxed SmEuHg crystal (PBE, Alexandria via LeMat-Bulk).

Summary:
Calculated volume ... 32.0 Å³/atom
Excess energy over the best structure of this formula in the dataset ... 0 meV per atom
Magnetic moment ... 7.60 μB per formula unit
Mass density ... 8.70 g/cm3
DFT formation energy ... -300 meV per atom
N(E_F) ... 1.10 states/eV per atom

a b c (Å): 3.8303 3.8303 13.0899
angles (deg): 90.00 90.00 90.00
Closest atoms and distances in Å follow each position.
Positions (direct):
Sm 0.0000 0.0000 0.0000  4 Hg 3.20
Sm 0.5000 0.5000 0.5000  4 Hg 3.20
Eu 0.0000 0.0000 0.7132  4 Hg 3.39, 1 Sm 3.75
Eu 0.5000 0.5000 0.2132  4 Hg 3.39, 1 Sm 3.75
Hg 0.0000 0.0000 0.3691  4 Sm 3.20, 4 Eu 3.39
Hg 0.5000 0.5000 0.8691  4 Sm 3.20, 4 Eu 3.39